[1]
A relaxed structure of ErTmFe8B2. Source: OQMD via LeMat-Bulk, functional PBE.

```
ErTmFe8B2
1.0
5.030 0.000 0.000
-2.515 4.356 0.000
0.000 0.000 7.008
Er Tm Fe B
1 1 8 2
Cartesian
0.000 0.000 0.000
0.000 0.000 3.504
-1.257 2.178 2.005
-1.257 2.178 5.003
0.000 2.904 0.000
2.515 0.000 2.005
2.515 0.000 5.003
1.257 2.178 2.005
1.257 2.178 5.003
2.515 1.452 0.000
0.000 2.904 3.504
2.515 1.452 3.504
```

Values from the calculation:
Calculated volume (Å³/cell): 153.5
Symmetry: P6/mmm, No. 191
Theoretical density (Mg/m³): 8.70
E (eV/atom): -7.661
Spin magnetization (μB per formula unit): 15.08

[2]
A relaxed structure of Nd2Hf. Source: OQMD via LeMat-Bulk, functional PBE.

```
Nd2Hf
1.0
0.000 4.478 4.478
4.478 0.000 4.478
4.478 4.478 0.000
Nd Hf
4 2
Cartesian
0.000 0.000 0.000
2.239 2.239 0.000
2.239 0.000 2.239
0.000 2.239 2.239
3.359 3.359 3.359
5.598 5.598 5.598
```

Values from the calculation:
Calculated volume (Å³/cell): 179.6
ΔE to the lowest computed polymorph (meV/atom): 0
Calculated formation energy (eV/atom): 0.69
Symmetry: Fd-3m, No. 227
Theoretical density (Mg/m³): 8.63
Spin magnetization (μB per formula unit): 0.21

[3]
A relaxed structure of TlAgOsSe2S. Source: OQMD via LeMat-Bulk, functional PBE.

```
TlAgOsSe2S
1.0
1.910 -6.910 0.000
1.910 6.910 0.000
0.000 0.000 10.113
Tl Ag Os Se S
2 2 2 4 2
Cartesian
1.910 3.646 7.585
1.910 -3.646 2.528
1.910 5.733 2.528
1.910 -5.733 7.585
1.910 0.000 0.000
1.910 0.000 5.056
1.910 5.269 0.043
1.910 5.269 5.014
1.910 -5.269 5.099
1.910 -5.269 10.070
1.910 0.688 2.528
1.910 -0.688 7.585
```

Values from the calculation:
Calculated volume (Å³/cell): 267.0
Symmetry: Cmcm, No. 63
Theoretical density (Mg/m³): 8.61
E (eV/atom): -4.497
Spin magnetization (μB per formula unit): 0.04

[4]
A relaxed structure of CsEr2Cu3SeS4. Source: OQMD via LeMat-Bulk, functional PBE.

```
CsEr2Cu3SeS4
1.0
1.989 -7.027 0.000
1.989 7.027 0.000
0.000 0.000 16.870
Cs Er Cu Se S
2 4 6 2 8
Cartesian
1.989 6.162 12.653
1.989 -6.162 4.218
1.989 4.355 1.496
1.989 4.355 6.939
1.989 -4.355 9.931
1.989 -4.355 15.374
1.989 2.091 12.653
1.989 1.176 0.628
1.989 1.176 7.807
1.989 -1.176 9.063
1.989 -1.176 16.243
1.989 -2.091 4.218
1.989 3.685 4.218
1.989 -3.685 12.653
1.989 4.633 9.586
1.989 4.633 15.719
1.989 0.883 10.256
1.989 0.883 15.049
1.989 -0.883 1.821
1.989 -0.883 6.614
1.989 -4.633 1.151
1.989 -4.633 7.284
```

Values from the calculation:
Calculated volume (Å³/cell): 471.5
Symmetry: Cmcm, No. 63
Theoretical density (Mg/m³): 6.10
E (eV/atom): -4.944
Spin magnetization (μB per formula unit): 0.00

[5]
A relaxed structure of YLuHgTe3. Source: OQMD via LeMat-Bulk, functional PBE.

```
YLuHgTe3
1.0
2.173 -7.596 0.000
2.173 7.596 0.000
0.000 0.000 12.454
Y Lu Hg Te
2 2 2 6
Cartesian
0.000 0.000 0.000
0.000 0.000 6.227
2.173 1.473 9.341
2.173 -1.473 3.114
2.173 3.733 3.114
2.173 -3.733 9.341
2.173 7.036 9.341
2.173 2.148 6.527
2.173 2.148 12.155
2.173 -2.148 0.300
2.173 -2.148 5.928
2.173 -7.036 3.114
```

Values from the calculation:
Calculated volume (Å³/cell): 411.2
Symmetry: Cmcm, No. 63
Theoretical density (Mg/m³): 6.84
E (eV/atom): -4.491
Spin magnetization (μB per formula unit): 0.01

[6]
A relaxed structure of FeCu6Sn2S8. Source: OQMD via LeMat-Bulk, functional PBE.

```
FeCu6Sn2S8
1.0
7.731 0.000 0.000
0.000 7.731 0.000
0.000 0.000 5.435
Fe Cu Sn S
1 6 2 8
Cartesian
0.000 0.000 0.000
0.000 3.865 0.196
1.972 1.972 2.718
1.972 5.758 2.718
3.865 0.000 5.239
5.758 1.972 2.718
5.758 5.758 2.718
0.000 0.000 2.718
3.865 3.865 0.000
0.000 2.060 4.207
0.000 5.670 4.207
1.867 3.865 1.439
2.060 0.000 1.228
3.865 1.867 3.996
3.865 5.863 3.996
5.670 0.000 1.228
5.863 3.865 1.439
```

Values from the calculation:
Calculated volume (Å³/cell): 324.8
Symmetry: P-4m2, No. 115
Theoretical density (Mg/m³): 4.76
E (eV/atom): -4.427
Spin magnetization (μB per formula unit): 3.93

[7]
A relaxed structure of LiLaZrPt. Source: OQMD via LeMat-Bulk, functional PBE.

```
LiLaZrPt
1.0
0.000 3.400 3.400
3.400 0.000 3.400
3.400 3.400 0.000
Li La Zr Pt
1 1 1 1
Cartesian
0.000 0.000 0.000
5.100 5.100 5.100
3.400 3.400 3.400
1.700 1.700 1.700
```

Values from the calculation:
Calculated volume (Å³/cell): 78.6
ΔE to the lowest computed polymorph (meV/atom): 0
Symmetry: F-43m, No. 216
Theoretical density (Mg/m³): 9.13
Spin magnetization (μB per formula unit): 0.00

[8]
A relaxed structure of CdO4. Source: OQMD via LeMat-Bulk, functional PBE.

```
CdO4
1.0
4.164 -1.563 0.000
4.164 1.563 0.000
-1.392 0.000 4.832
Cd O
1 4
Cartesian
0.000 0.000 0.000
-0.071 0.000 2.215
2.303 0.000 0.282
4.633 0.000 4.549
7.007 0.000 2.617
```

Values from the calculation:
Calculated volume (Å³/cell): 62.9
Symmetry: C2/m, No. 12
Theoretical density (Mg/m³): 4.66
E (eV/atom): -3.873

[9]
A relaxed structure of TaAgO3. Source: OQMD via LeMat-Bulk, functional PBE.

```
TaAgO3
1.0
2.762 1.595 4.583
-2.762 1.595 4.583
0.000 -3.190 4.583
Ta Ag O
2 2 6
Cartesian
0.000 0.000 0.000
0.000 0.000 6.875
0.000 0.000 3.437
0.000 0.000 10.312
-1.567 0.476 5.729
-1.195 -1.119 8.020
0.371 -1.595 5.729
-0.371 1.595 8.020
1.195 1.119 5.729
1.567 -0.476 8.020
```

Values from the calculation:
Calculated volume (Å³/cell): 121.1
Symmetry: R-3c, No. 167
Theoretical density (Mg/m³): 9.23
E (eV/atom): -7.896
Spin magnetization (μB per formula unit): 0.00

[10]
A relaxed structure of Dy2Tm2I5N. Source: OQMD via LeMat-Bulk, functional PBE.

```
Dy2Tm2I5N
1.0
9.569 -1.945 0.000
9.569 1.945 0.000
-1.826 0.000 8.279
Dy Tm I N
2 2 5 1
Cartesian
18.785 0.000 1.567
-1.472 0.000 6.712
5.522 0.000 7.784
11.790 0.000 0.495
2.500 0.000 2.772
1.651 0.000 6.832
8.656 0.000 4.140
15.662 0.000 1.447
14.812 0.000 5.508
9.569 0.000 0.000
```

Values from the calculation:
Calculated volume (Å³/cell): 308.2
Symmetry: C2/m, No. 12
Theoretical density (Mg/m³): 7.07
E (eV/atom): -4.655
Spin magnetization (μB per formula unit): 0.00

[11]
A relaxed structure of AlCuAgIr. Source: OQMD via LeMat-Bulk, functional PBE.

```
AlCuAgIr
1.0
0.000 3.089 3.089
3.089 0.000 3.089
3.089 3.089 0.000
Al Cu Ag Ir
1 1 1 1
Cartesian
0.000 0.000 0.000
1.544 1.544 1.544
3.089 3.089 3.089
4.633 4.633 4.633
```

Values from the calculation:
Calculated volume (Å³/cell): 58.9
ΔE to the lowest computed polymorph (meV/atom): 0
Symmetry: F-43m, No. 216
Theoretical density (Mg/m³): 11.00
Spin magnetization (μB per formula unit): 0.01

[12]
A relaxed structure of HoTmIn4Au2. Source: OQMD via LeMat-Bulk, functional PBE.

```
HoTmIn4Au2
1.0
7.265 0.000 0.000
0.000 2.313 5.427
0.000 -2.313 5.427
Ho Tm In Au
1 1 4 2
Cartesian
0.000 0.000 0.000
3.633 0.000 9.091
1.505 0.000 3.139
2.133 0.000 5.953
5.132 0.000 5.953
5.760 0.000 3.139
0.000 0.000 7.808
3.633 0.000 1.273
```

Values from the calculation:
Calculated volume (Å³/cell): 182.4
Symmetry: Amm2, No. 38
Theoretical density (Mg/m³): 10.81
E (eV/atom): -3.789
Spin magnetization (μB per formula unit): 0.01

Among the records above, which one has the lowest theoretical density?
CdO4